Record 1
First-principles (PBE) data for a relaxed structure of Tb2Tl5I12, as listed in Alexandria.

For the formation energy (no corrections), the calculation gives -0.891 eV per atom.

The structure belongs to space group C2/m (No. 12); the cell edges are 19.0928, 8.8985 and 11.1384 Å and the angles 90.00°, 109.90° and 90.00°. The asymmetric unit holds Tb at (0.0000, 0.2469, 0.0000), Tl at (0.0000, 0.5000, 0.5000), Tl at (0.1830, 0.0000, 0.8223), Tl at (0.2205, 0.0000, 0.3697), I at (0.0042, 0.5000, 0.1902), I at (0.0080, 0.0000, 0.1995), I at (0.1301, 0.2490, 0.5585) and I at (0.1665, 0.2385, 0.0870).

Record 2
First-principles (PBE) data for a relaxed structure of RbAu2O4, as listed in Alexandria.

For the formation energy (no corrections), the calculation gives -0.463 eV per atom.

The structure belongs to space group I4_1/a (No. 88, origin choice 2); the cell edges are 6.8877, 6.8877 and 10.2233 Å and the angles 90.00°, 90.00° and 90.00°. The asymmetric unit holds Rb at (0.0000, 0.2500, 0.1250), Au at (0.0000, 0.0000, 0.5000) and O at (0.1489, 0.0051, 0.6688).

Record 3
First-principles (PBE) data for a relaxed structure of NbTeP2S, as listed in Alexandria.

The calculation puts the distance to the lowest polymorph of the same formula at 0.000 eV per atom. For the formation energy (no corrections), the calculation gives 0.293 eV per atom.

The structure belongs to space group P4/mmm (No. 123); the cell edges are 4.9954, 4.9954 and 4.6028 Å and the angles 90.00°, 90.00° and 90.00°. The asymmetric unit holds Nb at (0.0000, 0.0000, 0.0000), Te at (0.5000, 0.5000, 0.5000), P at (0.0000, 0.5000, 0.0000) and S at (0.0000, 0.0000, 0.5000).

What is the formula in the second record? RbAu2O4